# 1
Here is Pm2Dy2Th after structural relaxation from the Alexandria database. Energies are from PBE.

Summary:
Volume ... 163.66 Å³ per cell
Total DFT energy (no corrections) ... -5.212 eV per atom
Space group ... R-3m (166)

a b c (Å): 3.602 3.602 14.714
angles (deg): 82.97 82.97 60.00
Element x y z (fractional)
Pm  0.200  0.200  0.399
Pm  0.800  0.800  0.601
Dy  0.398  0.398  0.807
Dy  0.602  0.602  0.193
Th  0.000  0.000  0.000

---

# 2
Here is CeRuPbO6 after structural relaxation from the Alexandria database. Energies are from PBE.

Summary:
Formation energy from raw total energies ... -1.637 eV per atom
Volume ... 263.50 Å³ per cell
Space group ... Imma (74)

a b c (Å): 7.326 7.238 7.156
angles (deg): 120.38 120.79 90.00
Last column: magnetic moment on the atom in μB.
Element x y z (fractional)
O  0.814  0.183  0.265  0.12
O  0.581  0.831  0.163  0.06
O  0.859  0.109  0.719  0.00
O  0.141  0.891  0.281  0.00
O  0.186  0.817  0.735  0.12
O  0.549  0.817  0.735  0.12
O  0.451  0.581  0.265  0.12
O  0.451  0.183  0.265  0.12
O  0.814  0.581  0.265  0.12
O  0.419  0.169  0.837  0.06
O  0.186  0.419  0.735  0.12
O  0.549  0.419  0.735  0.12
Pb  0.798  0.548  0.596  0.00
Pb  0.202  0.452  0.404  0.00
Ce  0.500  0.000  0.500  0.09
Ce  0.000  0.000  0.500  0.09
Ru  0.500  0.000  0.000  1.19
Ru  0.500  0.500  0.000  1.19

---

# 3
Here is Tb2Pm4Th3 after structural relaxation from the Alexandria database. Energies are from PBE.

Summary:
Volume ... 300.61 Å³ per cell
Total DFT energy (no corrections) ... -5.527 eV per atom
Space group ... P3m1 (156)

a b c (Å): 3.586 3.586 26.997
angles (deg): 90.00 90.00 120.00
Element x y z (fractional)
Th  0.000  0.000  0.321
Th  0.000  0.000  0.983
Th  0.667  0.333  0.655
Tb  0.667  0.333  0.088
Tb  0.667  0.333  0.874
Pm  0.667  0.333  0.214
Pm  0.000  0.000  0.545
Pm  0.000  0.000  0.765
Pm  0.667  0.333  0.431

---

# 4
Here is BAsO4 after structural relaxation from the Alexandria database. Energies are from PBE.

Summary:
Formation energy from raw total energies ... -1.664 eV per atom
Volume ... 72.20 Å³ per cell
Space group ... I-4 (82)

a b c (Å): 4.722 4.722 4.722
angles (deg): 121.90 121.90 86.75
Element x y z (fractional)
B  0.250  0.750  0.500
As  0.000  0.000  0.000
O  0.144  0.711  0.122
O  0.590  0.022  0.878
O  0.978  0.856  0.567
O  0.289  0.410  0.433